Here is a relaxed structure of Ba4MgTi2 from Alexandria via LeMat-Bulk. Energies are from PBE.

Cell lengths 6.723, 6.723, 9.409 Å; angles 69.07, 69.07, 90.00 degrees
Sites, in units of the cell vectors:
Mg (0.000, 0.000, 0.000)
Ba (0.217, 0.217, 0.567)
Ba (0.783, 0.783, 0.433)
Ba (0.000, 0.500, 0.000)
Ti (0.435, 0.435, 0.129)
Ba (0.500, 0.000, 0.000)
Ti (0.565, 0.565, 0.871)

Computed properties:
As for the energy of formation from the pure elements: 719 meV/atom. The raw total energy is -2.863 eV/atom. As for the symmetry: I4/mmm (139).

=====

Here is a relaxed structure of Pm2Sm4HoTh from Alexandria via LeMat-Bulk. Energies are from PBE.

Cell lengths 6.048, 6.045, 9.475 Å; angles 50.43, 90.00, 90.00 degrees
Sites, in units of the cell vectors:
Ho (0.000, 0.500, 0.500)
Pm (0.500, 0.000, 0.500)
Sm (0.500, 0.752, 0.247)
Sm (0.000, 0.747, 0.753)
Sm (0.000, 0.253, 0.247)
Pm (0.000, 0.000, 0.000)
Th (0.500, 0.500, 0.000)
Sm (0.500, 0.248, 0.753)

Computed properties:
As for the energy of formation from the pure elements: 137 meV/atom. The raw total energy is -4.910 eV/atom. As for the symmetry: P2/m (10).

=====

Here is a relaxed structure of CsNb2Mo from Alexandria via LeMat-Bulk. Energies are from PBE.

Cell lengths 5.471, 5.471, 9.248 Å; angles 72.80, 72.80, 90.00 degrees
Sites, in units of the cell vectors:
Nb (0.435, 0.125, 0.250)
Nb (0.375, 0.565, 0.750)
Cs (0.750, 0.250, 0.500)
Nb (0.315, 0.625, 0.250)
Mo (0.250, 0.750, 0.500)
Cs (0.000, 0.000, 0.000)
Mo (0.500, 0.500, 0.000)
Nb (0.875, 0.685, 0.750)

Computed properties:
As for the energy of formation from the pure elements: 1848 meV/atom. The raw total energy is -6.108 eV/atom. As for the symmetry: I-42d (122).

=====

The highest raw total energy belongs to which entry?
Ba4MgTi2

=====

energy of formation from the pure elements of number 2 (Pm2Sm4HoTh)?
137 meV/atom